1.
Density functional theory data (PBE) for DyTm2H after structural relaxation.

a b c (Å): 3.312 3.312 8.356
angles (deg): 90.00 90.00 90.00
Fractional coordinates of all 4 atoms:
Dy: 0.000 0.000 0.000
Tm: 0.500 0.500 0.307
Tm: 0.500 0.500 0.693
H: 0.000 0.000 0.500

Computed properties:
The calculated density is 9.1 g/cm3. The total DFT energy (no corrections) comes out at -16.38 eV/cell. The value obtained for the spin magnetization is 0.0 μB per formula unit. For the relative energy among the computed polymorphs, the calculation gives 1.29 eV/f.u.

=====

2.
Density functional theory data (PBE) for MgMoBr2 after structural relaxation.

a b c (Å): 6.645 7.500 3.498
angles (deg): 90.00 90.00 90.00
Fractional coordinates of all 8 atoms:
Mg: 0.000 0.000 0.000
Mg: 0.500 0.500 0.000
Mo: 0.000 0.500 0.000
Mo: 0.500 0.000 0.000
Br: 0.250 0.250 0.500
Br: 0.250 0.750 0.500
Br: 0.750 0.250 0.500
Br: 0.750 0.750 0.500

Computed properties:
Its uncorrected formation energy is 0.4800 eV per atom. The calculated density is 5.3 g/cm3. The total DFT energy (no corrections) comes out at -27.70 eV/cell. The value obtained for the spin magnetization is 3.4 μB per formula unit. For the relative energy among the computed polymorphs, the calculation gives 2.82 eV/f.u.

=====

3.
Density functional theory data (PBE) for BeIrBr after structural relaxation.

a b c (Å): 7.132 3.652 8.622
angles (deg): 90.00 90.00 90.00
Fractional coordinates of all 12 atoms:
Be: 0.061 0.250 0.031
Be: 0.439 0.750 0.531
Be: 0.561 0.250 0.469
Be: 0.939 0.750 0.969
Ir: 0.225 0.750 0.075
Ir: 0.275 0.250 0.575
Ir: 0.725 0.750 0.425
Ir: 0.775 0.250 0.925
Br: 0.121 0.750 0.343
Br: 0.379 0.250 0.843
Br: 0.621 0.750 0.157
Br: 0.879 0.250 0.657

Computed properties:
Its uncorrected formation energy is 0.2452 eV per atom. The calculated density is 8.3 g/cm3. The total DFT energy (no corrections) comes out at -54.10 eV/cell. The value obtained for the spin magnetization is 0.0 μB per formula unit. For the relative energy among the computed polymorphs, the calculation gives 1.64 eV/f.u.

=====

4.
Density functional theory data (PBE) for NdDy5Al3 after structural relaxation.

a b c (Å): 9.130 9.130 6.674
angles (deg): 90.00 90.00 120.00
Fractional coordinates of all 18 atoms:
Nd: 0.000 0.000 0.000
Nd: 0.000 0.000 0.500
Dy: 0.000 0.332 0.250
Dy: 0.000 0.668 0.750
Dy: 0.332 0.000 0.250
Dy: 0.332 0.332 0.750
Dy: 0.333 0.667 0.000
Dy: 0.333 0.667 0.500
Dy: 0.667 0.333 0.000
Dy: 0.667 0.333 0.500
Dy: 0.668 0.000 0.750
Dy: 0.668 0.668 0.250
Al: 0.000 0.339 0.750
Al: 0.000 0.661 0.250
Al: 0.339 0.000 0.750
Al: 0.339 0.339 0.250
Al: 0.661 0.000 0.250
Al: 0.661 0.661 0.750

Computed properties:
The calculated density is 7.2 g/cm3. The total DFT energy (no corrections) comes out at -82.57 eV/cell. The value obtained for the spin magnetization is 0.0 μB per formula unit. The calculation puts the formation energy at -0.25 eV/atom.

=====

5.
Density functional theory data (PBE) for NaLaCo2Br after structural relaxation.

a b c (Å): 4.703 4.703 6.214
angles (deg): 90.00 90.00 90.00
Fractional coordinates of all 5 atoms:
Na: 0.000 0.000 0.000
La: 0.500 0.500 0.500
Co: 0.000 0.500 0.500
Co: 0.500 0.000 0.500
Br: 0.500 0.500 0.000

Computed properties:
Its uncorrected formation energy is 0.5015 eV per atom. The calculated density is 4.3 g/cm3. The total DFT energy (no corrections) comes out at -19.62 eV/cell. The value obtained for the spin magnetization is 1.0 μB per formula unit.

=====

6.
Density functional theory data (PBE) for GePd4Se after structural relaxation.

a b c (Å): 7.022 5.592 5.571
angles (deg): 90.00 96.80 90.00
Fractional coordinates of all 12 atoms:
Ge: 0.000 0.000 0.000
Ge: 0.000 0.500 0.500
Pd: 0.176 0.167 0.371
Pd: 0.176 0.333 0.871
Pd: 0.243 0.685 0.243
Pd: 0.243 0.815 0.743
Pd: 0.757 0.185 0.257
Pd: 0.757 0.315 0.757
Pd: 0.824 0.667 0.129
Pd: 0.824 0.833 0.629
Se: 0.500 0.000 0.500
Se: 0.500 0.500 0.000

Computed properties:
Its uncorrected formation energy is -0.2585 eV per atom. The calculated density is 8.8 g/cm3. The total DFT energy (no corrections) comes out at -60.85 eV/cell. The value obtained for the spin magnetization is 0.0 μB per formula unit. For the relative energy among the computed polymorphs, the calculation gives 0.65 eV/f.u.

=====

7.
Density functional theory data (PBE) for Tc4PtBr after structural relaxation.

a b c (Å): 5.193 5.193 5.193
angles (deg): 60.00 60.00 60.00
Fractional coordinates of all 6 atoms:
Tc: 0.124 0.124 0.124
Tc: 0.124 0.124 0.627
Tc: 0.124 0.627 0.124
Tc: 0.627 0.124 0.124
Pt: 0.750 0.750 0.750
Br: 0.500 0.500 0.500

Computed properties:
Its uncorrected formation energy is 0.8814 eV per atom. The calculated density is 11.2 g/cm3. The total DFT energy (no corrections) comes out at -43.89 eV/cell. The value obtained for the spin magnetization is 0.0 μB per formula unit.

=====

8.
Density functional theory data (PBE) for RbTbCr2Cl8 after structural relaxation.

a b c (Å): 6.698 6.881 9.148
angles (deg): 110.30 93.91 110.54
Fractional coordinates of all 12 atoms:
Rb: 0.000 0.000 0.000
Tb: 0.000 0.500 0.500
Cr: 0.429 0.318 0.794
Cr: 0.571 0.682 0.206
Cl: 0.163 0.539 0.250
Cl: 0.269 0.310 0.552
Cl: 0.297 0.914 0.689
Cl: 0.458 0.687 0.953
Cl: 0.542 0.313 0.047
Cl: 0.703 0.086 0.311
Cl: 0.731 0.690 0.448
Cl: 0.837 0.461 0.750

Computed properties:
Its uncorrected formation energy is -1.5239 eV per atom. The calculated density is 2.9 g/cm3. The total DFT energy (no corrections) comes out at -57.90 eV/cell. The value obtained for the spin magnetization is 8.0 μB per formula unit.

=====

9.
Density functional theory data (PBE) for NaCaScPd2 after structural relaxation.

a b c (Å): 4.906 4.906 4.709
angles (deg): 90.00 90.00 90.00
Fractional coordinates of all 5 atoms:
Na: 0.000 0.000 0.000
Ca: 0.000 0.000 0.500
Sc: 0.500 0.500 0.500
Pd: 0.000 0.500 0.000
Pd: 0.500 0.000 0.000

Computed properties:
The calculated density is 4.7 g/cm3. The total DFT energy (no corrections) comes out at -17.83 eV/cell. The value obtained for the spin magnetization is 0.0 μB per formula unit. For the relative energy among the computed polymorphs, the calculation gives 1.90 eV/f.u. The calculation puts the formation energy at 0.44 eV/atom.

=====

10.
Density functional theory data (PBE) for Cs3B6H12Se4Br after structural relaxation.

a b c (Å): 10.940 10.940 8.933
angles (deg): 90.00 90.00 120.00
Fractional coordinates of all 52 atoms:
Cs: 0.154 0.308 0.000
Cs: 0.154 0.846 0.000
Cs: 0.308 0.154 0.500
Cs: 0.692 0.846 0.000
Cs: 0.846 0.154 0.500
Cs: 0.846 0.692 0.500
B: 0.131 0.565 0.331
B: 0.233 0.465 0.634
B: 0.233 0.767 0.634
B: 0.435 0.565 0.331
B: 0.435 0.869 0.331
B: 0.465 0.233 0.134
B: 0.535 0.767 0.634
B: 0.565 0.131 0.831
B: 0.565 0.435 0.831
B: 0.767 0.233 0.134
B: 0.767 0.535 0.134
B: 0.869 0.435 0.831
H: 0.012 0.506 0.382
H: 0.111 0.409 0.676
H: 0.111 0.702 0.676
H: 0.137 0.568 0.195
H: 0.298 0.409 0.676
H: 0.298 0.889 0.676
H: 0.409 0.111 0.176
H: 0.409 0.298 0.176
H: 0.432 0.568 0.195
H: 0.432 0.863 0.195
H: 0.494 0.506 0.382
H: 0.494 0.988 0.382
H: 0.506 0.012 0.882
H: 0.506 0.494 0.882
H: 0.568 0.137 0.695
H: 0.568 0.432 0.695
H: 0.591 0.702 0.676
H: 0.591 0.889 0.676
H: 0.702 0.111 0.176
H: 0.702 0.591 0.176
H: 0.863 0.432 0.695
H: 0.889 0.298 0.176
H: 0.889 0.591 0.176
H: 0.988 0.494 0.882
Se: 0.228 0.455 0.404
Se: 0.228 0.772 0.404
Se: 0.333 0.667 0.725
Se: 0.455 0.228 0.904
Se: 0.545 0.772 0.404
Se: 0.667 0.333 0.225
Se: 0.772 0.228 0.904
Se: 0.772 0.545 0.904
Br: 0.000 0.000 0.248
Br: 0.000 0.000 0.748

Computed properties:
The calculated density is 3.1 g/cm3. The total DFT energy (no corrections) comes out at -220.45 eV/cell. The value obtained for the spin magnetization is 0.0 μB per formula unit.

=====

11.
Density functional theory data (PBE) for ErH3 after structural relaxation.

a b c (Å): 6.212 6.212 6.468
angles (deg): 90.00 90.00 120.00
Fractional coordinates of all 24 atoms:
Er: 0.000 0.337 0.250
Er: 0.000 0.663 0.750
Er: 0.337 0.000 0.250
Er: 0.337 0.337 0.750
Er: 0.663 0.000 0.750
Er: 0.663 0.663 0.250
H: 0.000 0.000 0.250
H: 0.000 0.000 0.750
H: 0.029 0.351 0.592
H: 0.029 0.678 0.092
H: 0.322 0.351 0.092
H: 0.322 0.971 0.592
H: 0.333 0.667 0.316
H: 0.333 0.667 0.816
H: 0.351 0.029 0.908
H: 0.351 0.322 0.408
H: 0.649 0.678 0.592
H: 0.649 0.971 0.092
H: 0.667 0.333 0.184
H: 0.667 0.333 0.684
H: 0.678 0.029 0.408
H: 0.678 0.649 0.908
H: 0.971 0.322 0.908
H: 0.971 0.649 0.408

Computed properties:
The calculated density is 7.8 g/cm3. The total DFT energy (no corrections) comes out at -102.87 eV/cell. The value obtained for the spin magnetization is 0.0 μB per formula unit. For the relative energy among the computed polymorphs, the calculation gives 0.00 eV/f.u.

=====

12.
Density functional theory data (PBE) for Pm3SiIr after structural relaxation.

a b c (Å): 8.743 6.408 10.305
angles (deg): 90.00 113.64 90.00
Fractional coordinates of all 20 atoms:
Pm: 0.143 0.007 0.289
Pm: 0.143 0.493 0.789
Pm: 0.281 0.505 0.502
Pm: 0.281 0.995 0.002
Pm: 0.344 0.016 0.683
Pm: 0.344 0.484 0.183
Pm: 0.656 0.516 0.817
Pm: 0.656 0.984 0.317
Pm: 0.719 0.005 0.998
Pm: 0.719 0.495 0.498
Pm: 0.857 0.507 0.211
Pm: 0.857 0.993 0.711
Si: 0.002 0.696 0.002
Si: 0.002 0.804 0.502
Si: 0.998 0.196 0.498
Si: 0.998 0.304 0.998
Ir: 0.459 0.190 0.434
Ir: 0.459 0.310 0.934
Ir: 0.541 0.690 0.066
Ir: 0.541 0.810 0.566

Computed properties:
Its uncorrected formation energy is -0.5611 eV per atom. The calculated density is 8.2 g/cm3. The total DFT energy (no corrections) comes out at -125.36 eV/cell. The value obtained for the spin magnetization is 0.0 μB per formula unit. For the relative energy among the computed polymorphs, the calculation gives 0.05 eV/f.u.